# ScFeTc | the Alexandria database | GGA-PBEsol | relaxed
data_ScFeTc
_symmetry_space_group_name_H-M 'P 1'
_symmetry_Int_Tables_number 1
_symmetry_space_group_name_Hall 'P 1'
_cell_length_a 4.139
_cell_length_b 4.139
_cell_length_c 2.935
_cell_angle_alpha 90.00
_cell_angle_beta 90.00
_cell_angle_gamma 120.00
loop_
_atom_site_label
_atom_site_type_symbol
_atom_site_fract_x
_atom_site_fract_y
_atom_site_fract_z
Sc1 Sc 0.000 0.000 0.000
Fe1 Fe 0.667 0.333 0.583
Tc1 Tc 0.333 0.667 0.416
# ΔH_f (0 K)   146 meV/atom

---

# Sc2FeTc | the Alexandria database | GGA-PBEsol | relaxed
data_Sc2FeTc
_symmetry_space_group_name_H-M 'P 1'
_symmetry_Int_Tables_number 1
_symmetry_space_group_name_Hall 'P 1'
_cell_length_a 3.734
_cell_length_b 3.734
_cell_length_c 9.145
_cell_angle_alpha 90.00
_cell_angle_beta 90.00
_cell_angle_gamma 90.00
loop_
_atom_site_label
_atom_site_type_symbol
_atom_site_fract_x
_atom_site_fract_y
_atom_site_fract_z
Sc1 Sc 0.000 0.000 0.000
Sc2 Sc 0.000 0.500 0.250
Sc3 Sc 0.500 0.000 0.750
Sc4 Sc 0.500 0.500 0.500
Fe1 Fe 0.000 0.500 0.750
Fe2 Fe 0.500 0.000 0.250
Tc1 Tc 0.000 0.000 0.500
Tc2 Tc 0.500 0.500 0.000
# ΔH_f (0 K)   123 meV/atom

---

# Sc2FeTc | the Alexandria database | GGA-PBEsol | relaxed
data_Sc2FeTc
_symmetry_space_group_name_H-M 'P 1'
_symmetry_Int_Tables_number 1
_symmetry_space_group_name_Hall 'P 1'
_cell_length_a 2.850
_cell_length_b 4.089
_cell_length_c 5.439
_cell_angle_alpha 90.00
_cell_angle_beta 98.67
_cell_angle_gamma 90.00
loop_
_atom_site_label
_atom_site_type_symbol
_atom_site_fract_x
_atom_site_fract_y
_atom_site_fract_z
Sc1 Sc 0.250 0.000 0.247
Sc2 Sc 0.750 0.000 0.753
Fe1 Fe 0.500 0.500 0.000
Tc1 Tc 0.000 0.500 0.500
# ΔH_f (0 K)   117 meV/atom